Compound: K2AsAu
Source: Alexandria via LeMat-Bulk
Functional: PBE
Structure: optimized geometry

extended XYZ file:
```
4
Lattice="-3.421 -1.569 -2.814 3.009 -4.322 -1.248 -0.659 -4.869 3.516" Properties=species:S:1:pos:R:3 pbc="T T T"
K -1.103 -3.565 -0.594
K 2.332 -8.708 2.021
As 1.632 -5.543 1.107
Au -0.406 -6.732 0.323
```

Computed properties:
volume: 137.33 Å³/f.u.
space group: No. 38
Fermi-level density of states: 0.021 states/eV/f.u.
energy: -12.0 eV/cell
formation energy: -0.46 eV/atom

***

Compound: SrCaNd4
Source: Alexandria via LeMat-Bulk
Functional: PBE
Structure: optimized geometry

extended XYZ file:
```
6
Lattice="7.004 0.000 0.000 3.502 6.066 0.000 3.502 2.022 5.719" Properties=species:S:1:pos:R:3 pbc="T T T"
Nd 5.240 5.063 3.580
Nd 7.004 2.006 3.580
Nd 7.004 4.044 0.698
Nd 8.769 5.063 3.580
Sr 3.502 2.022 1.430
Ca 0.000 0.000 0.000
```

Computed properties:
volume: 242.99 Å³/f.u.
space group: No. 216
Fermi-level density of states: 10.015 states/eV/f.u.
energy: -21.7 eV/cell
formation energy: 0.17 eV/atom

***

Compound: Si2OsCl
Source: Alexandria via LeMat-Bulk
Functional: PBE
Structure: optimized geometry

extended XYZ file:
```
4
Lattice="-0.466 -5.915 4.935 2.331 -4.705 5.656 -0.273 -3.474 6.886" Properties=species:S:1:pos:R:3 pbc="T T T"
Si 0.783 -6.926 8.589
Si 0.014 -0.120 0.149
Os 1.194 -10.570 13.107
Cl 0.398 -3.523 4.369
```

Computed properties:
volume: 63.72 Å³/f.u.
space group: No. 166
energy above the most stable polymorph in this dataset: 174 meV per atom
Fermi-level density of states: 2.013 states/eV/f.u.
energy: -23.6 eV/cell